[1]
Density functional theory data (PBE) for MgSi2OsPb after structural relaxation.

Summary:
* energy: -5.0562 eV/atom
* crystal system: tetragonal
* space-group type: No. 123
* raw formation energy: 0.420 eV/atom

Lattice parameters (Å, degrees): 4.5420 4.5420 6.1395 90.00 90.00 90.00
Last column: nearest neighbours and their distance in Å.
Fractional coordinates of all 5 atoms:
1 Mg 0.0000 0.0000 0.0000  4 Pb 3.21
2 Si 0.0000 0.5000 0.5000  2 Os 2.27
3 Si 0.5000 0.0000 0.5000  2 Os 2.27
4 Os 0.5000 0.5000 0.5000  4 Si 2.27
5 Pb 0.5000 0.5000 0.0000  2 Os 3.07, 4 Mg 3.21

=====

[2]
Density functional theory data (PBE) for SbWCl2 after structural relaxation.

Summary:
* energy: -4.9100 eV/atom
* crystal system: tetragonal
* space-group type: No. 99
* energy above the lowest structure with this stoichiometry: 412 meV per atom
* raw formation energy: 0.282 eV/atom

Lattice parameters (Å, degrees): 3.1241 3.1241 8.6301 90.00 90.00 90.00
Last column: nearest neighbours and their distance in Å.
Fractional coordinates of all 4 atoms:
1 Sb 0.0000 0.0000 0.0000  4 W 2.97, 4 Cl 3.03, 4 Sb 3.12
2 W 0.5000 0.5000 0.2309  4 Cl 2.68, 4 Sb 2.97
3 Cl 0.0000 0.0000 0.4073  4 W 2.68
4 Cl 0.5000 0.5000 0.7605  4 Sb 3.03, 4 Cl 3.12

=====

[3]
Density functional theory data (PBE) for Sm4GeCl5 after structural relaxation.

Summary:
* energy: -5.0100 eV/atom
* crystal system: monoclinic
* space-group type: No. 12
* raw formation energy: -1.737 eV/atom

Lattice parameters (Å, degrees): 9.2090 9.2090 8.3250 103.31 103.31 25.45
Last column: nearest neighbours and their distance in Å.
Fractional coordinates of all 10 atoms:
1 Sm 0.0004 0.0004 0.2346  2 Ge 2.81, 4 Cl 2.89-3.00
2 Sm 0.9996 0.9996 0.7654  2 Ge 2.81, 4 Cl 2.89-3.00
3 Sm 0.3429 0.3429 0.9112  1 Ge 2.74, 5 Cl 2.81-3.01
4 Sm 0.6571 0.6571 0.0888  1 Ge 2.74, 5 Cl 2.81-3.01
5 Ge 0.5000 0.5000 0.0000  6 Sm 2.74-2.81
6 Cl 0.1661 0.1661 0.3259  3 Sm 2.81-2.89
7 Cl 0.1711 0.1711 0.8520  4 Sm 2.88-3.01
8 Cl 0.5000 0.5000 0.5000  4 Sm 3.00
9 Cl 0.8289 0.8289 0.1480  4 Sm 2.88-3.01
10 Cl 0.8339 0.8339 0.6741  3 Sm 2.81-2.89

=====

[4]
Density functional theory data (PBE) for Nd3DyHo2Tm6 after structural relaxation.

Summary:
* energy: -4.5510 eV/atom
* energy of formation: 0.023 eV/atom
* crystal system: monoclinic
* space-group type: No. 12

Lattice parameters (Å, degrees): 6.1518 6.1518 11.6852 95.02 95.02 119.97
Last column: nearest neighbours and their distance in Å.
Fractional coordinates of all 12 atoms:
1 Nd 0.0000 0.0000 0.0000  6 Nd 3.55, 6 Tm 3.57
2 Nd 0.3333 0.6667 0.0000  6 Nd 3.55, 6 Tm 3.57
3 Nd 0.6667 0.3333 0.0000  6 Nd 3.55, 6 Tm 3.57
4 Dy 0.5000 0.5000 0.5000  6 Tm 3.50, 6 Ho 3.55
5 Ho 0.1667 0.8333 0.5000  6 Tm 3.50, 3 Ho 3.55, 3 Dy 3.55
6 Ho 0.8333 0.1667 0.5000  6 Tm 3.50, 3 Ho 3.55, 3 Dy 3.55
7 Tm 0.0844 0.4177 0.2538  2 Ho 3.50, 1 Dy 3.50, 6 Tm 3.55, 3 Nd 3.57
8 Tm 0.2489 0.2489 0.7462  1 Dy 3.50, 2 Ho 3.50, 6 Tm 3.55, 3 Nd 3.57
9 Tm 0.4177 0.0844 0.2538  2 Ho 3.50, 1 Dy 3.50, 6 Tm 3.55, 3 Nd 3.57
10 Tm 0.5823 0.9156 0.7462  2 Ho 3.50, 1 Dy 3.50, 6 Tm 3.55, 3 Nd 3.57
11 Tm 0.7511 0.7511 0.2538  1 Dy 3.50, 2 Ho 3.50, 6 Tm 3.55, 3 Nd 3.57
12 Tm 0.9156 0.5823 0.7462  2 Ho 3.50, 1 Dy 3.50, 6 Tm 3.55, 3 Nd 3.57

=====

[5]
Density functional theory data (PBE) for Rb2Tl5In4 after structural relaxation.

Summary:
* energy: -2.2525 eV/atom
* energy of formation: -0.005 eV/atom
* crystal system: monoclinic
* space-group type: No. 12

Lattice parameters (Å, degrees): 8.1380 8.1380 10.2846 129.16 129.16 51.05
Last column: nearest neighbours and their distance in Å.
Fractional coordinates of all 11 atoms:
1 Rb 0.1957 0.1957 0.1966  6 In 3.59-3.90, 4 Tl 4.02
2 Rb 0.8043 0.8043 0.8034  6 In 3.59-3.90, 4 Tl 4.02
3 Tl 0.2659 0.7341 0.3240  2 In 3.19, 1 Tl 3.28
4 Tl 0.2659 0.7341 0.6760  2 In 3.19, 1 Tl 3.28
5 Tl 0.5000 0.5000 0.0000  4 In 3.10-3.11
6 Tl 0.7341 0.2659 0.3240  2 In 3.19, 1 Tl 3.28
7 Tl 0.7341 0.2659 0.6760  2 In 3.19, 1 Tl 3.28
8 In 0.2455 0.2455 0.5923  3 Tl 3.10-3.19, 1 In 3.17
9 In 0.2460 0.2460 0.9012  3 Tl 3.11-3.19, 1 In 3.17
10 In 0.7540 0.7540 0.0988  3 Tl 3.11-3.19, 1 In 3.17
11 In 0.7545 0.7545 0.4077  3 Tl 3.10-3.19, 1 In 3.17

=====

[6]
Density functional theory data (PBE) for LaNdPd after structural relaxation.

Summary:
* energy: -5.3316 eV/atom
* energy of formation: -0.369 eV/atom
* crystal system: trigonal
* space-group type: No. 156
* energy above the lowest structure with this stoichiometry: 167 meV per atom

Lattice parameters (Å, degrees): 4.8579 4.8579 4.1002 90.00 90.00 120.00
Last column: nearest neighbours and their distance in Å.
Fractional coordinates of all 3 atoms:
1 La 0.0000 0.0000 0.0000  3 Pd 3.09, 3 Nd 3.31
2 Nd 0.3333 0.6667 0.4305  3 Pd 2.99, 3 La 3.31
3 Pd 0.6667 0.3333 0.6864  3 Nd 2.99, 3 La 3.09

=====

[7]
Density functional theory data (PBE) for HfMnBe17 after structural relaxation.

Summary:
* energy: -4.4831 eV/atom
* energy of formation: -0.143 eV/atom
* crystal system: trigonal
* space-group type: No. 160

Lattice parameters (Å, degrees): 5.5605 5.5605 5.5605 82.91 82.91 82.91
Last column: nearest neighbours and their distance in Å.
Fractional coordinates of all 19 atoms:
1 Hf 0.0000 0.0000 0.0000  19 Be 2.62-2.79
2 Mn 0.6730 0.6730 0.6730  13 Be 2.50-2.67
3 Be 0.0406 0.3440 0.6321  8 Be 2.11-2.25
4 Be 0.0406 0.6321 0.3440  8 Be 2.11-2.25
5 Be 0.1903 0.6834 0.6834  9 Be 2.13-2.26
6 Be 0.2432 0.2432 0.2432  7 Be 2.12-2.36
7 Be 0.3331 0.3331 0.8432  10 Be 2.11-2.27
8 Be 0.3331 0.8432 0.3331  10 Be 2.11-2.27
9 Be 0.3440 0.0406 0.6321  8 Be 2.11-2.25
10 Be 0.3440 0.6321 0.0406  8 Be 2.11-2.25
11 Be 0.4406 0.4406 0.4406  7 Be 2.12-2.27
12 Be 0.5038 0.9898 0.9898  9 Be 2.13-2.36
13 Be 0.6321 0.0406 0.3440  8 Be 2.11-2.25
14 Be 0.6321 0.3440 0.0406  8 Be 2.11-2.25
15 Be 0.6834 0.1903 0.6834  9 Be 2.13-2.26
16 Be 0.6834 0.6834 0.1903  9 Be 2.13-2.26
17 Be 0.8432 0.3331 0.3331  10 Be 2.11-2.27
18 Be 0.9898 0.5038 0.9898  9 Be 2.13-2.36
19 Be 0.9898 0.9898 0.5038  9 Be 2.13-2.36

=====

[8]
Density functional theory data (PBE) for LiIrRh2O6 after structural relaxation.

Summary:
* energy: -5.7932 eV/atom
* crystal system: tetragonal
* space-group type: No. 99
* raw formation energy: -0.270 eV/atom

Lattice parameters (Å, degrees): 5.8498 5.8498 3.7657 90.00 90.00 90.00
Last column: nearest neighbours and their distance in Å.
Fractional coordinates of all 10 atoms:
1 Li 0.0000 0.0000 0.0000  2 O 1.88-1.89
2 Ir 0.5000 0.5000 0.0179  6 O 1.88-1.98
3 Rh 0.0000 0.5000 0.0296  4 O 2.07
4 Rh 0.5000 0.0000 0.0296  4 O 2.07
5 O 0.0000 0.0000 0.5010  2 Li 1.88-1.89
6 O 0.2609 0.2609 0.0202  1 Ir 1.98, 2 Rh 2.07, 1 Li 2.16
7 O 0.2609 0.7391 0.0202  1 Ir 1.98, 2 Rh 2.07, 1 Li 2.16
8 O 0.5000 0.5000 0.5183  2 Ir 1.88
9 O 0.7391 0.2609 0.0202  1 Ir 1.98, 2 Rh 2.07, 1 Li 2.16
10 O 0.7391 0.7391 0.0202  1 Ir 1.98, 2 Rh 2.07, 1 Li 2.16

=====

[9]
Density functional theory data (PBE) for TbNd2NpP4 after structural relaxation.

Summary:
* energy: -7.4719 eV/atom
* energy of formation: -1.379 eV/atom
* crystal system: monoclinic
* space-group type: No. 10

Lattice parameters (Å, degrees): 7.0490 4.0694 7.0653 90.00 109.29 90.00
Last column: nearest neighbours and their distance in Å.
Fractional coordinates of all 8 atoms:
1 Tb 0.0000 0.0000 0.0000  6 P 2.85
2 Nd 0.0000 0.5000 0.5000  6 P 2.95-2.96
3 Nd 0.5000 0.0000 0.5000  6 P 2.91-2.92
4 Np 0.5000 0.5000 0.0000  6 P 2.80-2.82
5 P 0.2512 0.5000 0.2372  1 Np 2.80, 2 Tb 2.85, 3 Nd 2.92-2.96
6 P 0.2589 0.0000 0.7648  2 Np 2.82, 1 Tb 2.85, 3 Nd 2.91-2.95
7 P 0.7411 0.0000 0.2352  2 Np 2.82, 1 Tb 2.85, 3 Nd 2.91-2.95
8 P 0.7488 0.5000 0.7628  1 Np 2.80, 2 Tb 2.85, 3 Nd 2.92-2.96

=====

[10]
Density functional theory data (PBE) for BiPd3Rh after structural relaxation.

Summary:
* energy: -4.2082 eV/atom
* energy of formation: 1.154 eV/atom
* crystal system: cubic
* space-group type: No. 221
* energy above the lowest structure with this stoichiometry: 343 meV per atom

Lattice parameters (Å, degrees): 5.0006 5.0006 5.0006 90.00 90.00 90.00
Last column: nearest neighbours and their distance in Å.
Fractional coordinates of all 5 atoms:
1 Bi 0.0000 0.0000 0.0000  6 Pd 2.50
2 Pd 0.0000 0.0000 0.5000  2 Bi 2.50
3 Pd 0.0000 0.5000 0.0000  2 Bi 2.50
4 Pd 0.5000 0.0000 0.0000  2 Bi 2.50
5 Rh 0.5000 0.5000 0.5000  12 Pd 3.54

=====

[11]
Density functional theory data (PBE) for ZrSF2 after structural relaxation.

Summary:
* energy: -6.2924 eV/atom
* crystal system: tetragonal
* space-group type: No. 122
* energy above the lowest structure with this stoichiometry: 530 meV per atom
* raw formation energy: -2.188 eV/atom

Lattice parameters (Å, degrees): 7.9560 7.9560 7.9560 150.75 150.75 41.84
Last column: nearest neighbours and their distance in Å.
Fractional coordinates of all 8 atoms:
1 Zr 0.0000 0.0000 0.0000  4 F 2.16
2 Zr 0.7500 0.2500 0.5000  4 F 2.16
3 S 0.2500 0.7500 0.5000  4 F 2.63, 4 Zr 2.84
4 S 0.5000 0.5000 0.0000  4 F 2.63, 4 Zr 2.84
5 F 0.3750 0.2349 0.3599  2 Zr 2.16, 2 F 2.19
6 F 0.7651 0.1250 0.1401  2 Zr 2.16, 2 F 2.19
7 F 0.8750 0.0151 0.6401  2 Zr 2.16, 2 F 2.19
8 F 0.9849 0.6250 0.8599  2 Zr 2.16, 2 F 2.19

=====

[12]
Density functional theory data (PBE) for Cs3AcI8 after structural relaxation.

Summary:
* energy: -2.7743 eV/atom
* crystal system: tetragonal
* space-group type: No. 139
* raw formation energy: -1.185 eV/atom

Lattice parameters (Å, degrees): 11.0222 11.0222 11.0222 134.05 134.05 67.01
Last column: nearest neighbours and their distance in Å.
Fractional coordinates of all 12 atoms:
1 Cs 0.0000 0.0000 0.0000  8 I 3.92
2 Cs 0.2500 0.7500 0.5000  8 I 3.98
3 Cs 0.7500 0.2500 0.5000  8 I 3.98
4 Ac 0.5000 0.5000 0.0000  8 I 3.41
5 I 0.1642 0.1642 0.5505  1 Ac 3.41
6 I 0.1642 0.6137 0.0000  1 Ac 3.41
7 I 0.3863 0.3863 0.5505  1 Ac 3.41
8 I 0.3863 0.8358 0.0000  1 Ac 3.41
9 I 0.6137 0.1642 0.0000  1 Ac 3.41
10 I 0.6137 0.6137 0.4495  1 Ac 3.41
11 I 0.8358 0.3863 0.0000  1 Ac 3.41
12 I 0.8358 0.8358 0.4495  1 Ac 3.41

=====

Number 1: total magnetization 0.00 μB per cell. Number 2: total magnetization 0.00 μB per cell. Number 3: total magnetization 0.00 μB per cell. Number 4: total magnetization 0.00 μB per cell. Number 5: total magnetization 0.00 μB per cell. Number 6: total magnetization 0.00 μB per cell. Number 7: total magnetization 2.47 μB per cell. Number 8: total magnetization 2.69 μB per cell. Number 9: total magnetization 3.59 μB per cell. Number 10: total magnetization 1.82 μB per cell. Number 11: total magnetization 0.01 μB per cell. Number 12: total magnetization 0.00 μB per cell.